1.
This record from the Alexandria database describes a relaxed LaTa2BC crystal. The functional is PBE.

The structure belongs to space group P4/mmm (No. 123); the cell edges are 4.236, 4.236 and 5.124 Å and the angles 90.00°, 90.00° and 90.00°. Symmetry generates all atoms from La at (0.000, 0.000, 0.000), Ta at (0.000, 0.500, 0.500), B at (0.500, 0.500, 0.000) and C at (0.000, 0.000, 0.500).

Its formation energy is 0.649 eV per atom.


2.
This record from the Alexandria database describes a relaxed La2Tc2B2C crystal. The functional is PBE.

The structure belongs to space group C2/m (No. 12); the cell edges are 11.144, 3.740 and 6.990 Å and the angles 90.00°, 124.35° and 90.00°. Symmetry generates all atoms from La at (0.069, 0.000, 0.328), Tc at (0.199, 0.500, 0.087), B at (0.195, 0.500, 0.768) and C at (0.000, 0.500, 0.000).

Its formation energy is -0.317 eV per atom.


3.
This record from the Alexandria database describes a relaxed LiBC3 crystal. The functional is PBE.

The structure belongs to space group Pm-3m (No. 221); the cell edges are 3.581, 3.581 and 3.581 Å and the angles 90.00°, 90.00° and 90.00°. Symmetry generates all atoms from Li at (0.000, 0.000, 0.000), B at (0.500, 0.500, 0.500) and C at (0.000, 0.000, 0.500).

Its formation energy is 3.623 eV per atom.


4.
This record from the Alexandria database describes a relaxed LiB3C3 crystal. The functional is PBE.

The structure belongs to space group P6_322 (No. 182); the cell edges are 4.6669, 4.6669 and 7.3445 Å and the angles 90.00°, 90.00° and 120.00°. Symmetry generates all atoms from Li at (0.3333, 0.6667, 0.2500), B at (0.0000, 0.3314, 0.5000) and C at (0.0000, 0.3350, 0.0000).

Its formation energy is 0.142 eV per atom.